# 1
Computed, not measured: a geometry-optimized CsCaSb2 structure at the PBE level of DFT.

Lattice parameters (Å, degrees): 6.078 6.078 11.307 74.41 74.41 90.00
Sites, in units of the cell vectors:
Cs 0.000 0.000 0.000
Cs 0.750 0.250 0.500
Sb 0.452 0.125 0.250
Sb 0.298 0.625 0.250
Sb 0.375 0.548 0.750
Sb 0.875 0.702 0.750
Ca 0.500 0.500 0.000
Ca 0.250 0.750 0.500

Calculated values
Distance to the lowest polymorph of the same formula: 0 meV/atom
Crystal system: tetragonal
Energy relative to the elements, uncorrected: -0.3886 eV per atom
DOS at the Fermi energy: 3.548 states/eV/cell
Space-group type: No. 122

=====

# 2
Computed, not measured: a geometry-optimized ZrV2CdBr structure at the PBE level of DFT.

Lattice parameters (Å, degrees): 4.913 5.136 4.913 90.00 90.00 90.00
Sites, in units of the cell vectors:
V 0.000 0.000 0.500
V 0.500 0.000 0.000
Br 0.000 0.500 0.000
Zr 0.500 0.500 0.500
Cd 0.000 0.000 0.000

Calculated values
Crystal system: tetragonal
Energy relative to the elements, uncorrected: 1.8199 eV per atom
DOS at the Fermi energy: 10.356 states/eV/cell
Space-group type: No. 123

=====

# 3
Computed, not measured: a geometry-optimized Tb8HoTl2 structure at the PBE level of DFT.

Lattice parameters (Å, degrees): 5.625 8.822 8.822 119.53 101.92 101.92
Sites, in units of the cell vectors:
Tb 0.882 0.905 0.679
Tb 0.882 0.679 0.905
Tb 0.297 0.598 0.598
Tb 0.500 0.783 0.217
Tb 0.500 0.217 0.783
Tb 0.703 0.402 0.402
Tb 0.118 0.321 0.095
Tb 0.118 0.095 0.321
Ho 0.500 0.000 0.000
Tl 0.000 0.306 0.694
Tl 0.000 0.694 0.306

Calculated values
ΔH_f (0 K): -0.0072 eV per atom
Distance to the lowest polymorph of the same formula: 79 meV/atom
Crystal system: monoclinic
DOS at the Fermi energy: 15.196 states/eV/cell
Space-group type: No. 12

=====

# 4
Computed, not measured: a geometry-optimized Tb4Y5In structure at the PBE level of DFT.

Lattice parameters (Å, degrees): 3.570 3.570 24.455 90.00 90.00 90.00
Sites, in units of the cell vectors:
Tb 0.000 0.000 0.190
Tb 0.000 0.000 0.397
Tb 0.000 0.000 0.603
Tb 0.000 0.000 0.810
Y 0.500 0.500 0.086
Y 0.500 0.500 0.294
Y 0.500 0.500 0.500
Y 0.500 0.500 0.706
Y 0.500 0.500 0.914
In 0.000 0.000 0.000

Calculated values
ΔH_f (0 K): -0.0859 eV per atom
Distance to the lowest polymorph of the same formula: 0 meV/atom
Crystal system: tetragonal
DOS at the Fermi energy: 13.657 states/eV/cell
Space-group type: No. 123

=====

# 5
Computed, not measured: a geometry-optimized La7PrPb4 structure at the PBE level of DFT.

Lattice parameters (Å, degrees): 6.086 10.170 7.768 80.33 66.94 72.59
Sites, in units of the cell vectors:
La 0.794 0.892 0.519
La 0.206 0.108 0.481
La 0.046 0.641 0.266
La 0.954 0.359 0.734
La 0.325 0.589 0.762
La 0.500 0.000 0.000
La 0.675 0.411 0.238
Pr 0.000 0.000 0.000
Pb 0.573 0.230 0.623
Pb 0.427 0.770 0.377
Pb 0.707 0.673 0.912
Pb 0.293 0.327 0.088

Calculated values
ΔH_f (0 K): -0.2402 eV per atom
Crystal system: monoclinic
DOS at the Fermi energy: 13.518 states/eV/cell
Space-group type: No. 12

=====

# 6
Computed, not measured: a geometry-optimized La4Zn3Si structure at the PBE level of DFT.

Lattice parameters (Å, degrees): 3.806 3.806 14.590 90.00 90.00 90.00
Sites, in units of the cell vectors:
Zn 0.500 0.500 0.249
Zn 0.500 0.500 0.500
Zn 0.500 0.500 0.751
Si 0.500 0.500 0.000
La 0.000 0.000 0.888
La 0.000 0.000 0.112
La 0.000 0.000 0.373
La 0.000 0.000 0.627

Calculated values
Crystal system: tetragonal
Energy relative to the elements, uncorrected: -0.3623 eV per atom
DOS at the Fermi energy: 9.807 states/eV/cell
Space-group type: No. 123

=====

# 7
Computed, not measured: a geometry-optimized NbFe2Cl structure at the PBE level of DFT.

Lattice parameters (Å, degrees): 4.371 4.371 4.371 60.00 60.00 60.00
Sites, in units of the cell vectors:
Nb 0.500 0.500 0.500
Fe 0.250 0.250 0.250
Fe 0.750 0.750 0.750
Cl 0.000 0.000 0.000

Calculated values
Distance to the lowest polymorph of the same formula: 0 meV/atom
Crystal system: cubic
Energy relative to the elements, uncorrected: 0.8272 eV per atom
DOS at the Fermi energy: 5.781 states/eV/cell
Space-group type: No. 225

=====

# 8
Computed, not measured: a geometry-optimized CaCl6F2 structure at the PBE level of DFT.

Lattice parameters (Å, degrees): 3.412 14.275 7.558 91.29 47.28 69.00
Sites, in units of the cell vectors:
Ca 0.000 0.000 0.000
Cl 0.162 0.424 0.132
Cl 0.838 0.576 0.868
Cl 0.004 0.684 0.650
Cl 0.903 0.195 0.532
Cl 0.097 0.805 0.468
Cl 0.996 0.316 0.350
F 0.441 0.924 0.115
F 0.559 0.076 0.885

Calculated values
Crystal system: triclinic
Energy relative to the elements, uncorrected: -1.0235 eV per atom
DOS at the Fermi energy: 7.580 states/eV/cell
Space-group type: No. 2

=====

# 9
Computed, not measured: a geometry-optimized YTiSn2 structure at the PBE level of DFT.

Lattice parameters (Å, degrees): 3.956 3.956 7.868 75.44 75.44 60.00
Sites, in units of the cell vectors:
Y 0.500 0.500 0.500
Sn 0.260 0.260 0.219
Sn 0.740 0.740 0.781
Ti 0.000 0.000 0.000

Calculated values
ΔH_f (0 K): -0.3311 eV per atom
Distance to the lowest polymorph of the same formula: 11 meV/atom
Crystal system: trigonal
DOS at the Fermi energy: 1.229 states/eV/cell
Space-group type: No. 166

=====

# 10
Computed, not measured: a geometry-optimized BN structure at the PBE level of DFT.

Lattice parameters (Å, degrees): 7.518 7.518 2.537 90.00 90.00 90.00
Sites, in units of the cell vectors:
B 0.812 0.312 0.500
B 0.312 0.188 0.500
B 0.688 0.812 0.500
B 0.188 0.688 0.500
B 0.394 0.894 0.000
B 0.894 0.606 0.000
B 0.106 0.394 0.000
B 0.606 0.106 0.000
N 0.319 0.819 0.500
N 0.819 0.681 0.500
N 0.181 0.319 0.500
N 0.681 0.181 0.500
N 0.886 0.386 0.000
N 0.386 0.114 0.000
N 0.614 0.886 0.000
N 0.114 0.614 0.000

Calculated values
Distance to the lowest polymorph of the same formula: 196 meV/atom
Crystal system: tetragonal
Energy relative to the elements, uncorrected: -1.0905 eV per atom
DOS at the Fermi energy: 0.000 states/eV/cell
Space-group type: No. 127

=====

# 11
Computed, not measured: a geometry-optimized SrCu3Cl6 structure at the PBE level of DFT.

Lattice parameters (Å, degrees): 4.133 7.698 7.698 111.08 90.00 90.00
Sites, in units of the cell vectors:
Sr 0.000 0.500 0.500
Cu 0.500 0.500 0.000
Cu 0.000 0.000 0.000
Cu 0.500 0.000 0.500
Cl 0.000 0.065 0.319
Cl 0.000 0.935 0.681
Cl 0.000 0.319 0.065
Cl 0.000 0.681 0.935
Cl 0.500 0.668 0.332
Cl 0.500 0.332 0.668

Calculated values
Crystal system: orthorhombic
Energy relative to the elements, uncorrected: -0.9874 eV per atom
DOS at the Fermi energy: 4.481 states/eV/cell
Space-group type: No. 65

=====

# 12
Computed, not measured: a geometry-optimized Ta2VN structure at the PBE level of DFT.

Lattice parameters (Å, degrees): 7.430 7.430 5.665 49.02 49.02 90.00
Sites, in units of the cell vectors:
V 0.000 0.000 0.000
V 0.750 0.250 0.500
Ta 0.494 0.125 0.250
Ta 0.256 0.625 0.250
Ta 0.375 0.506 0.750
Ta 0.875 0.744 0.750
N 0.500 0.500 0.000
N 0.250 0.750 0.500

Calculated values
Crystal system: tetragonal
Energy relative to the elements, uncorrected: -0.3144 eV per atom
DOS at the Fermi energy: 3.667 states/eV/cell
Space-group type: No. 122